No. 1
! PBE Tb10Dy4Tm, relaxed; values from VASP
! ΔH_f (0 K): 0.72 eV/atom
! Spin magnetization: 0.0000 μB per atom
! Space-group type: I4/m (87)
! Crystal system: tetragonal
&SYSTEM
  ibrav = 0, nat = 15, ntyp = 3
/
ATOMIC_SPECIES
Tb 158.93 Tb.upf
Dy 162.50 Dy.upf
Tm 168.93 Tm.upf
ATOMIC_POSITIONS crystal
Tb 0.449 0.899 0.701
Tb 0.250 0.500 0.500
Tb 0.551 0.101 0.299
Tb 0.850 0.701 0.101
Tb 0.750 0.500 0.500
Tb 0.049 0.101 0.299
Tb 0.951 0.899 0.701
Tb 0.349 0.701 0.101
Tb 0.150 0.299 0.899
Tb 0.651 0.299 0.899
Dy 0.400 0.801 0.400
Dy 0.799 0.600 0.801
Dy 0.201 0.400 0.199
Dy 0.600 0.199 0.600
Tm 0.000 0.000 0.000
CELL_PARAMETERS angstrom
6.982 0.000 3.153
3.491 8.564 1.576
-0.033 0.000 9.381

---

No. 2
! PBE Tb6DyTm, relaxed; values from VASP
! Relative energy among the computed polymorphs: 0 meV/atom
! ΔH_f (0 K): 0.02 eV/atom
! Spin magnetization: 0.0000 μB per atom
! Space-group type: P4/mmm (123)
! Crystal system: tetragonal
&SYSTEM
  ibrav = 0, nat = 8, ntyp = 3
/
ATOMIC_SPECIES
Tb 158.93 Tb.upf
Dy 162.50 Dy.upf
Tm 168.93 Tm.upf
ATOMIC_POSITIONS crystal
Tb 0.000 0.500 0.749
Tb 0.000 0.500 0.251
Tb 0.500 0.000 0.749
Tb 0.500 0.000 0.251
Tb 0.500 0.500 0.000
Tb 0.500 0.500 0.500
Dy 0.000 0.000 0.000
Tm 0.000 0.000 0.500
CELL_PARAMETERS angstrom
5.011 0.000 0.000
0.000 5.011 0.000
0.000 0.000 10.021